[1]
# Pa2TaGa6 | Alexandria | GGA-PBE | relaxed
# Calculated volume = 18.81 A^3/atom
# Total magnetic moment = 0.279 μB per formula unit
# Formation energy = -165 meV per atom
data_Pa2TaGa6
_space_group_name_H-M_alt 'P 6/m m m'
_space_group_IT_number 191
_space_group_name_Hall '-P 6 2'
_cell_length_a 8.0210
_cell_length_b 8.0210
_cell_length_c 3.0382
_cell_angle_alpha 90.00
_cell_angle_beta 90.00
_cell_angle_gamma 120.00
loop_
_atom_site_label
_atom_site_fract_x
_atom_site_fract_y
_atom_site_fract_z
Pa1 0.3333 0.6667 0.0000
Ta1 0.0000 0.0000 0.0000
Ga1 0.0000 0.3162 0.5000



[2]
# Pa2TaGa | Alexandria | GGA-PBE | relaxed
# Calculated volume = 22.39 A^3/atom
# Total magnetic moment = 0.000 μB per formula unit
# Formation energy = 143 meV per atom
data_Pa2TaGa
_space_group_name_H-M_alt 'F m -3 m'
_space_group_IT_number 225
_space_group_name_Hall '-F 4 2 3'
_cell_length_a 7.102
_cell_length_b 7.102
_cell_length_c 7.102
_cell_angle_alpha 90.00
_cell_angle_beta 90.00
_cell_angle_gamma 90.00
loop_
_atom_site_label
_atom_site_fract_x
_atom_site_fract_y
_atom_site_fract_z
Pa1 0.250 0.250 0.250
Ta1 0.000 0.000 0.000
Ga1 0.000 0.000 0.500



[3]
# PaTaGa3 | Alexandria | GGA-PBE | relaxed
# Calculated volume = 20.65 A^3/atom
# Total magnetic moment = 0.524 μB per formula unit
# Formation energy = -82 meV per atom
data_PaTaGa3
_space_group_name_H-M_alt 'R -3 m'
_space_group_IT_number 166
_space_group_name_Hall '-R 3 2"'
_cell_length_a 6.3451
_cell_length_b 6.3451
_cell_length_c 26.6480
_cell_angle_alpha 90.00
_cell_angle_beta 90.00
_cell_angle_gamma 120.00
loop_
_atom_site_label
_atom_site_fract_x
_atom_site_fract_y
_atom_site_fract_z
Pa1 0.0000 0.0000 0.0000
Pa2 0.0000 0.0000 0.2264
Ta1 0.0000 0.0000 0.3980
Ta2 0.0000 0.0000 0.5000
Ga1 0.0000 0.5000 0.0000
Ga2 0.0731 0.5366 0.7809



[4]
# PaTaGa2 | Alexandria | GGA-PBE | relaxed
# Calculated volume = 20.16 A^3/atom
# Total magnetic moment = 0.000 μB per formula unit
# Formation energy = -214 meV per atom
data_PaTaGa2
_space_group_name_H-M_alt 'P n m a'
_space_group_IT_number 62
_space_group_name_Hall '-P 2ac 2n'
_cell_length_a 7.781
_cell_length_b 3.963
_cell_length_c 10.458
_cell_angle_alpha 90.00
_cell_angle_beta 90.00
_cell_angle_gamma 90.00
loop_
_atom_site_label
_atom_site_fract_x
_atom_site_fract_y
_atom_site_fract_z
Pa1 0.161 0.250 0.160
Ta1 0.024 0.750 0.403
Ga1 0.136 0.250 0.823
Ga2 0.231 0.750 0.955



[5]
# Pa2TaGa | Alexandria | GGA-PBE | relaxed
# Calculated volume = 23.14 A^3/atom
# Total magnetic moment = 0.001 μB per formula unit
# Formation energy = 276 meV per atom
data_Pa2TaGa
_space_group_name_H-M_alt 'R -3 m'
_space_group_IT_number 166
_space_group_name_Hall '-R 3 2"'
_cell_length_a 3.0451
_cell_length_b 3.0451
_cell_length_c 34.5740
_cell_angle_alpha 90.00
_cell_angle_beta 90.00
_cell_angle_gamma 120.00
loop_
_atom_site_label
_atom_site_fract_x
_atom_site_fract_y
_atom_site_fract_z
Pa1 0.0000 0.0000 0.0891
Ta1 0.0000 0.0000 0.5000
Ga1 0.0000 0.0000 0.0000



[6]
# PaTaGa2 | Alexandria | GGA-PBE | relaxed
# Calculated volume = 19.32 A^3/atom
# Total magnetic moment = 0.000 μB per formula unit
# Formation energy = -115 meV per atom
data_PaTaGa2
_space_group_name_H-M_alt 'P 4/m m m'
_space_group_IT_number 123
_space_group_name_Hall '-P 4 2'
_cell_length_a 3.539
_cell_length_b 3.539
_cell_length_c 6.172
_cell_angle_alpha 90.00
_cell_angle_beta 90.00
_cell_angle_gamma 90.00
loop_
_atom_site_label
_atom_site_fract_x
_atom_site_fract_y
_atom_site_fract_z
Pa1 0.000 0.000 0.000
Ta1 0.000 0.000 0.500
Ga1 0.500 0.500 0.292



[7]
# PaTaGa2 | Alexandria | GGA-PBE | relaxed
# Calculated volume = 19.65 A^3/atom
# Total magnetic moment = 0.000 μB per formula unit
# Formation energy = -181 meV per atom
data_PaTaGa2
_space_group_name_H-M_alt 'P 1 21/m 1'
_space_group_IT_number 11
_space_group_name_Hall '-P 2yb'
_cell_length_a 4.732
_cell_length_b 6.429
_cell_length_c 5.423
_cell_angle_alpha 90.00
_cell_angle_beta 107.68
_cell_angle_gamma 90.00
loop_
_atom_site_label
_atom_site_fract_x
_atom_site_fract_y
_atom_site_fract_z
Pa1 0.041 0.250 0.143
Ta1 0.108 0.750 0.396
Ga1 0.427 0.050 0.743



[8]
# PaTaGa2 | Alexandria | GGA-PBE | relaxed
# Calculated volume = 19.54 A^3/atom
# Total magnetic moment = 2.174 μB per formula unit
# Formation energy = -42 meV per atom
data_PaTaGa2
_space_group_name_H-M_alt 'F m -3 m'
_space_group_IT_number 225
_space_group_name_Hall '-F 4 2 3'
_cell_length_a 6.787
_cell_length_b 6.787
_cell_length_c 6.787
_cell_angle_alpha 90.00
_cell_angle_beta 90.00
_cell_angle_gamma 90.00
loop_
_atom_site_label
_atom_site_fract_x
_atom_site_fract_y
_atom_site_fract_z
Pa1 0.000 0.000 0.000
Ta1 0.000 0.000 0.500
Ga1 0.250 0.250 0.250



[9]
# TbPaGa6 | Alexandria | GGA-PBE | relaxed
# Calculated volume = 19.49 A^3/atom
# Total magnetic moment = 0.001 μB per formula unit
# Formation energy = -458 meV per atom
data_TbPaGa6
_space_group_name_H-M_alt 'P -6 m 2'
_space_group_IT_number 187
_space_group_name_Hall 'P -6 2'
_cell_length_a 6.2801
_cell_length_b 6.2801
_cell_length_c 4.5638
_cell_angle_alpha 90.00
_cell_angle_beta 90.00
_cell_angle_gamma 120.00
loop_
_atom_site_label
_atom_site_fract_x
_atom_site_fract_y
_atom_site_fract_z
Tb1 0.0000 0.0000 0.0000
Pa1 0.6667 0.3333 0.5000
Ga1 0.0388 0.5194 0.0000
Ga2 0.1844 0.3688 0.5000



[10]
# Tb2PaGa9 | Alexandria | GGA-PBE | relaxed
# Calculated volume = 19.70 A^3/atom
# Total magnetic moment = 0.000 μB per formula unit
# Formation energy = -493 meV per atom
data_Tb2PaGa9
_space_group_name_H-M_alt 'P 4/m m m'
_space_group_IT_number 123
_space_group_name_Hall '-P 4 2'
_cell_length_a 4.288
_cell_length_b 4.288
_cell_length_c 12.858
_cell_angle_alpha 90.00
_cell_angle_beta 90.00
_cell_angle_gamma 90.00
loop_
_atom_site_label
_atom_site_fract_x
_atom_site_fract_y
_atom_site_fract_z
Tb1 0.000 0.000 0.166
Pa1 0.000 0.000 0.500
Ga1 0.000 0.500 0.000
Ga2 0.000 0.500 0.333
Ga3 0.500 0.500 0.166
Ga4 0.500 0.500 0.500



[11]
# Tb2PaGa | Alexandria | GGA-PBE | relaxed
# Calculated volume = 26.50 A^3/atom
# Total magnetic moment = 0.000 μB per formula unit
# Formation energy = 107 meV per atom
data_Tb2PaGa
_space_group_name_H-M_alt 'R -3 m'
_space_group_IT_number 166
_space_group_name_Hall '-R 3 2"'
_cell_length_a 3.2992
_cell_length_b 3.2992
_cell_length_c 33.7305
_cell_angle_alpha 90.00
_cell_angle_beta 90.00
_cell_angle_gamma 120.00
loop_
_atom_site_label
_atom_site_fract_x
_atom_site_fract_y
_atom_site_fract_z
Tb1 0.0000 0.0000 0.0972
Pa1 0.0000 0.0000 0.0000
Ga1 0.0000 0.0000 0.5000



[12]
# TbPa2Ga6 | Alexandria | GGA-PBE | relaxed
# Calculated volume = 20.27 A^3/atom
# Total magnetic moment = 0.000 μB per formula unit
# Formation energy = -413 meV per atom
data_TbPa2Ga6
_space_group_name_H-M_alt 'P 6/m m m'
_space_group_IT_number 191
_space_group_name_Hall '-P 6 2'
_cell_length_a 7.7890
_cell_length_b 7.7890
_cell_length_c 3.4719
_cell_angle_alpha 90.00
_cell_angle_beta 90.00
_cell_angle_gamma 120.00
loop_
_atom_site_label
_atom_site_fract_x
_atom_site_fract_y
_atom_site_fract_z
Tb1 0.0000 0.0000 0.0000
Pa1 0.3333 0.6667 0.0000
Ga1 0.0000 0.3326 0.5000